Er4TmNi2 | PBE | optimized geometry

a = 7.466 Å, b = 6.268 Å, c = 7.827 Å
α = 90.00°, β = 112.24°, γ = 90.00°
Element x y z (fractional)
Er: 0.027 0.250 0.388
Er: 0.250 0.750 0.342
Er: 0.408 0.004 0.769
Er: 0.408 0.496 0.769
Er: 0.592 0.504 0.231
Er: 0.592 0.996 0.231
Er: 0.750 0.250 0.658
Er: 0.973 0.750 0.612
Tm: 0.152 0.250 0.028
Tm: 0.848 0.750 0.972
Ni: 0.253 0.750 0.993
Ni: 0.382 0.250 0.414
Ni: 0.618 0.750 0.586
Ni: 0.747 0.250 0.007

Computed properties:
Total moment = 0.00 μB/cell
Energy relative to the lowest polymorph listed for this composition = 0 meV/atom
Energy of formation from the pure elements = -0.175 eV/atom
Electronic total energy = -5.0727 eV/atom
Symmetry = No. 11